Here is an optimized crystal structure of ZrTi4H8 from the Alexandria database. Energies are from GGA-PBE.

Values from the calculation:
Its crystal system is cubic. The density of states at the Fermi level comes out at 5.81 states/eV/f.u. As for the total DFT energy (no corrections): -66.3 eV per cell. The theoretical density comes out at 4.07 g/cm3.

Cell lengths 4.9137, 4.9137, 4.9137 Å; angles 90.00, 90.00, 90.00 degrees
Fractional coordinates of all 13 atoms:
H  0.2434  0.7566  0.7566
H  0.2434  0.7566  0.2434
H  0.7566  0.2434  0.7566
H  0.7566  0.2434  0.2434
H  0.2434  0.2434  0.2434
H  0.7566  0.7566  0.2434
H  0.7566  0.7566  0.7566
H  0.2434  0.2434  0.7566
Ti  0.0000  0.0000  0.0000
Ti  0.0000  0.5000  0.5000
Ti  0.5000  0.0000  0.5000
Ti  0.5000  0.5000  0.0000
Zr  0.5000  0.5000  0.5000

=====

Here is an optimized crystal structure of ZrTiH3 from the Alexandria database. Energies are from GGA-PBE.

Values from the calculation:
Its crystal system is monoclinic. The density of states at the Fermi level comes out at 2.24 states/eV/f.u. As for the total DFT energy (no corrections): -114.5 eV per cell. The theoretical density comes out at 5.14 g/cm3.

Cell lengths 4.9640, 5.9350, 6.3556 Å; angles 101.25, 90.00, 90.00 degrees
Fractional coordinates of all 20 atoms:
H  0.1638  0.5830  0.6075
H  0.1127  0.1780  0.0337
H  0.4736  0.8978  0.8183
H  0.0264  0.8978  0.3183
H  0.8873  0.8220  0.9663
H  0.9736  0.1022  0.6817
H  0.8362  0.4170  0.3925
H  0.3873  0.1780  0.5337
H  0.5264  0.1022  0.1817
H  0.6638  0.4170  0.8925
H  0.6127  0.8220  0.4663
H  0.3362  0.5830  0.1075
Ti  0.7541  0.1185  0.9380
Ti  0.2459  0.8815  0.0620
Ti  0.2541  0.8815  0.5619
Ti  0.7459  0.1185  0.4380
Zr  0.7534  0.6324  0.6855
Zr  0.7466  0.6324  0.1855
Zr  0.2466  0.3676  0.3145
Zr  0.2534  0.3676  0.8145

=====

Here is an optimized crystal structure of ZrTiH3 from the Alexandria database. Energies are from GGA-PBE.

Values from the calculation:
Its crystal system is cubic. The density of states at the Fermi level comes out at 1.82 states/eV/f.u. As for the total DFT energy (no corrections): -28.0 eV per cell. The theoretical density comes out at 5.20 g/cm3.

Cell lengths 3.5661, 3.5661, 3.5661 Å; angles 90.00, 90.00, 90.00 degrees
Fractional coordinates of all 5 atoms:
H  0.5000  0.0000  0.0000
H  0.0000  0.5000  0.0000
H  0.0000  0.0000  0.5000
Zr  0.5000  0.5000  0.5000
Ti  0.0000  0.0000  0.0000

=====

Here is an optimized crystal structure of ZrTi2H3 from the Alexandria database. Energies are from GGA-PBE.

Values from the calculation:
Its crystal system is monoclinic. The density of states at the Fermi level comes out at 5.15 states/eV/f.u. As for the total DFT energy (no corrections): -72.3 eV per cell. The theoretical density comes out at 5.09 g/cm3.

Cell lengths 2.8799, 5.6457, 8.6297 Å; angles 62.02, 90.00, 90.00 degrees
Fractional coordinates of all 12 atoms:
H  0.2500  0.3385  0.9565
H  0.7500  0.6615  0.0435
H  0.7500  0.5306  0.3662
H  0.2500  0.4694  0.6338
H  0.2500  0.0222  0.3810
H  0.7500  0.9778  0.6190
Ti  0.7500  0.7450  0.4991
Ti  0.2500  0.2550  0.5009
Ti  0.2500  0.7280  0.1822
Ti  0.7500  0.2720  0.8178
Zr  0.2500  0.7691  0.8311
Zr  0.7500  0.2309  0.1689

=====

Here is an optimized crystal structure of Zr2TiH from the Alexandria database. Energies are from GGA-PBE.

Values from the calculation:
Its crystal system is cubic. The density of states at the Fermi level comes out at 5.23 states/eV/f.u. As for the total DFT energy (no corrections): -25.6 eV per cell. The theoretical density comes out at 5.56 g/cm3.

Cell lengths 4.6047, 4.6047, 4.6047 Å; angles 60.00, 60.00, 60.00 degrees
Fractional coordinates of all 4 atoms:
Zr  0.2500  0.2500  0.2500
Zr  0.7500  0.7500  0.7500
H  0.0000  0.0000  0.0000
Ti  0.5000  0.5000  0.5000

=====

Here is an optimized crystal structure of Zr2TiH from the Alexandria database. Energies are from GGA-PBE.

Values from the calculation:
Its crystal system is trigonal. The density of states at the Fermi level comes out at 6.52 states/eV/f.u. As for the total DFT energy (no corrections): -27.2 eV per cell. The theoretical density comes out at 5.25 g/cm3.

Cell lengths 3.1144, 3.1144, 8.8910 Å; angles 79.91, 79.91, 60.00 degrees
Fractional coordinates of all 4 atoms:
H  0.0000  0.0000  0.0000
Zr  0.9283  0.9283  0.2150
Zr  0.0717  0.0717  0.7850
Ti  0.5000  0.5000  0.5000

=====

Here is an optimized crystal structure of ZrTiH3 from the Alexandria database. Energies are from GGA-PBE.

Values from the calculation:
Its crystal system is cubic. The density of states at the Fermi level comes out at 2.47 states/eV/f.u. As for the total DFT energy (no corrections): -26.6 eV per cell. The theoretical density comes out at 4.63 g/cm3.

Cell lengths 3.7090, 3.7090, 3.7090 Å; angles 90.00, 90.00, 90.00 degrees
Fractional coordinates of all 5 atoms:
H  0.0000  0.5000  0.0000
H  0.5000  0.0000  0.0000
H  0.0000  0.0000  0.5000
Ti  0.5000  0.5000  0.5000
Zr  0.0000  0.0000  0.0000

=====

Here is an optimized crystal structure of ZrTiH2 from the Alexandria database. Energies are from GGA-PBE.

Values from the calculation:
Its crystal system is trigonal. The density of states at the Fermi level comes out at 4.09 states/eV/f.u. As for the total DFT energy (no corrections): -24.3 eV per cell. The theoretical density comes out at 5.50 g/cm3.

Cell lengths 3.1116, 3.1116, 5.3873 Å; angles 73.21, 73.21, 60.00 degrees
Fractional coordinates of all 4 atoms:
Ti  0.0000  0.0000  0.0000
Zr  0.5000  0.5000  0.5000
H  0.7405  0.7405  0.7786
H  0.2595  0.2595  0.2214

=====

Here is an optimized crystal structure of Zr2Ti2H3 from the Alexandria database. Energies are from GGA-PBE.

Values from the calculation:
Its crystal system is monoclinic. The density of states at the Fermi level comes out at 7.89 states/eV/f.u. As for the total DFT energy (no corrections): -44.8 eV per cell. The theoretical density comes out at 5.54 g/cm3.

Cell lengths 3.2108, 5.1915, 5.4707 Å; angles 104.21, 107.06, 90.00 degrees
Fractional coordinates of all 7 atoms:
Zr  0.6176  0.8538  0.2352
Zr  0.3824  0.1462  0.7648
Ti  0.8689  0.6246  0.7379
Ti  0.1311  0.3754  0.2621
H  0.0000  0.0000  0.0000
H  0.7540  0.2571  0.5079
H  0.2460  0.7429  0.4921

=====

Here is an optimized crystal structure of ZrTi3H4 from the Alexandria database. Energies are from GGA-PBE.

Values from the calculation:
Its crystal system is orthorhombic. The density of states at the Fermi level comes out at 7.19 states/eV/f.u. As for the total DFT energy (no corrections): -96.5 eV per cell. The theoretical density comes out at 4.75 g/cm3.

Cell lengths 4.8865, 4.9065, 6.9594 Å; angles 90.00, 90.00, 90.00 degrees
Fractional coordinates of all 16 atoms:
H  0.6389  0.6169  0.2369
H  0.5843  0.1442  0.0000
H  0.6351  0.1586  0.5000
H  0.0843  0.8558  0.5000
H  0.1351  0.8414  0.0000
H  0.1389  0.3831  0.2631
H  0.1389  0.3831  0.7369
H  0.6389  0.6169  0.7631
Ti  0.5035  0.2557  0.2546
Ti  0.0123  0.2367  0.5000
Ti  0.0035  0.7443  0.7546
Ti  0.5123  0.7633  0.0000
Ti  0.5035  0.2557  0.7454
Ti  0.0035  0.7443  0.2454
Zr  0.9989  0.2390  0.0000
Zr  0.4989  0.7610  0.5000

=====

Here is an optimized crystal structure of ZrTiH2 from the Alexandria database. Energies are from GGA-PBE.

Values from the calculation:
Its crystal system is triclinic. The density of states at the Fermi level comes out at 3.58 states/eV/f.u. As for the total DFT energy (no corrections): -24.4 eV per cell. The theoretical density comes out at 5.18 g/cm3.

Cell lengths 3.1041, 3.5569, 5.8026 Å; angles 72.33, 59.48, 55.11 degrees
Fractional coordinates of all 4 atoms:
H  0.5645  0.0646  0.0946
H  0.1540  0.5538  0.5260
Zr  0.7456  0.1778  0.6871
Ti  0.2404  0.6884  0.1708

=====

Here is an optimized crystal structure of ZrTiH2 from the Alexandria database. Energies are from GGA-PBE.

Values from the calculation:
Its crystal system is trigonal. The density of states at the Fermi level comes out at 2.47 states/eV/f.u. As for the total DFT energy (no corrections): -23.9 eV per cell. The theoretical density comes out at 5.47 g/cm3.

Cell lengths 3.0193, 3.0193, 5.6990 Å; angles 74.64, 74.64, 60.00 degrees
Fractional coordinates of all 4 atoms:
H  0.2652  0.2652  0.2045
H  0.0695  0.0695  0.7914
Ti  0.6687  0.6687  0.9939
Zr  0.4966  0.4966  0.5102

=====

Here is an optimized crystal structure of Zr2Ti2H5 from the Alexandria database. Energies are from GGA-PBE.

Values from the calculation:
Its crystal system is orthorhombic. The density of states at the Fermi level comes out at 5.50 states/eV/f.u. As for the total DFT energy (no corrections): -106.4 eV per cell. The theoretical density comes out at 5.20 g/cm3.

Cell lengths 5.0388, 5.0120, 7.9914 Å; angles 108.28, 108.38, 90.00 degrees
Fractional coordinates of all 18 atoms:
H  0.4694  0.5027  0.2527
H  0.1497  0.6781  0.5000
H  0.8155  0.8464  0.1491
H  0.8337  0.3464  0.1491
H  0.7168  0.7500  0.7473
H  0.1845  0.6972  0.8509
H  0.8503  0.1781  0.5000
H  0.1663  0.1972  0.8509
H  0.5306  0.2500  0.7473
H  0.2832  0.0027  0.2527
Ti  0.6275  0.1572  0.2534
Ti  0.3725  0.9038  0.7466
Ti  0.1258  0.6572  0.2534
Ti  0.8742  0.4038  0.7466
Zr  0.5000  0.5222  0.0000
Zr  0.2495  0.2785  0.5000
Zr  0.0000  0.0222  0.0000
Zr  0.7505  0.7785  0.5000

=====

Here is an optimized crystal structure of ZrTi3H from the Alexandria database. Energies are from GGA-PBE.

Values from the calculation:
Its crystal system is cubic. The density of states at the Fermi level comes out at 8.32 states/eV/f.u. As for the total DFT energy (no corrections): -26.6 eV per cell. The theoretical density comes out at 3.35 g/cm3.

Cell lengths 4.8881, 4.8881, 4.8881 Å; angles 90.00, 90.00, 90.00 degrees
Fractional coordinates of all 5 atoms:
Ti  0.5000  0.0000  0.0000
Ti  0.0000  0.5000  0.0000
Ti  0.0000  0.0000  0.5000
H  0.5000  0.5000  0.5000
Zr  0.0000  0.0000  0.0000

=====

Here is an optimized crystal structure of ZrTi3H from the Alexandria database. Energies are from GGA-PBE.

Values from the calculation:
Its crystal system is cubic. The density of states at the Fermi level comes out at 8.48 states/eV/f.u. As for the total DFT energy (no corrections): -35.9 eV per cell. The theoretical density comes out at 5.17 g/cm3.

Cell lengths 4.2322, 4.2322, 4.2322 Å; angles 90.00, 90.00, 90.00 degrees
Fractional coordinates of all 5 atoms:
Ti  0.0000  0.0000  0.5000
Ti  0.0000  0.5000  0.0000
Ti  0.5000  0.0000  0.0000
Zr  0.5000  0.5000  0.5000
H  0.0000  0.0000  0.0000

=====

Here is an optimized crystal structure of Zr2TiH from the Alexandria database. Energies are from GGA-PBE.

Values from the calculation:
Its crystal system is tetragonal. The density of states at the Fermi level comes out at 3.17 states/eV/f.u. As for the total DFT energy (no corrections): -27.8 eV per cell. The theoretical density comes out at 5.84 g/cm3.

Cell lengths 2.9889, 2.9889, 7.3578 Å; angles 90.00, 90.00, 90.00 degrees
Fractional coordinates of all 4 atoms:
Ti  0.5000  0.5000  0.5000
Zr  0.0000  0.0000  0.7945
Zr  0.0000  0.0000  0.2055
H  0.5000  0.5000  0.0000

=====

Here is an optimized crystal structure of ZrTi5H4 from the Alexandria database. Energies are from GGA-PBE.

Values from the calculation:
Its crystal system is monoclinic. The density of states at the Fermi level comes out at 8.60 states/eV/f.u. As for the total DFT energy (no corrections): -63.9 eV per cell. The theoretical density comes out at 4.86 g/cm3.

Cell lengths 2.9102, 5.8317, 7.0447 Å; angles 101.98, 101.92, 90.00 degrees
Fractional coordinates of all 10 atoms:
H  0.6699  0.0823  0.3398
H  0.0268  0.7436  0.0535
H  0.9732  0.2564  0.9465
H  0.3301  0.9177  0.6602
Ti  0.1748  0.8236  0.3497
Ti  0.5000  0.5000  0.0000
Ti  0.1754  0.3469  0.3508
Ti  0.8252  0.1764  0.6503
Ti  0.8246  0.6531  0.6492
Zr  0.5000  0.0000  0.0000

=====

Here is an optimized crystal structure of ZrTi4H10 from the Alexandria database. Energies are from GGA-PBE.

Values from the calculation:
Its crystal system is tetragonal. The density of states at the Fermi level comes out at 5.09 states/eV/f.u. As for the total DFT energy (no corrections): -81.3 eV per cell. The theoretical density comes out at 4.31 g/cm3.

Cell lengths 4.2399, 5.5755, 5.5755 Å; angles 81.69, 67.65, 67.65 degrees
Fractional coordinates of all 15 atoms:
Ti  0.8027  0.5997  0.7948
Ti  0.1973  0.4003  0.2052
Ti  0.5976  0.2052  0.5997
Ti  0.4024  0.7948  0.4003
H  0.0503  0.1032  0.3151
H  0.6346  0.3151  0.8968
H  0.7500  0.5000  0.5000
H  0.8465  0.6849  0.1032
H  0.2500  0.5000  0.5000
H  0.5314  0.1032  0.3151
H  0.9497  0.8968  0.6849
H  0.1535  0.3151  0.8968
H  0.3654  0.6849  0.1032
H  0.4686  0.8968  0.6849
Zr  0.0000  0.0000  0.0000

=====

Here is an optimized crystal structure of Zr2TiH from the Alexandria database. Energies are from GGA-PBE.

Values from the calculation:
Its crystal system is tetragonal. The density of states at the Fermi level comes out at 4.18 states/eV/f.u. As for the total DFT energy (no corrections): -56.1 eV per cell. The theoretical density comes out at 5.70 g/cm3.

Cell lengths 6.6517, 6.6517, 5.6031 Å; angles 53.59, 53.59, 90.00 degrees
Fractional coordinates of all 8 atoms:
H  0.5000  0.5000  0.0000
H  0.2500  0.7500  0.5000
Zr  0.3750  0.4650  0.7500
Zr  0.2150  0.6250  0.2500
Zr  0.5350  0.1250  0.2500
Zr  0.8750  0.7850  0.7500
Ti  0.7500  0.2500  0.5000
Ti  0.0000  0.0000  0.0000

=====

Here is an optimized crystal structure of Zr3TiH8 from the Alexandria database. Energies are from GGA-PBE.

Values from the calculation:
Its crystal system is cubic. The density of states at the Fermi level comes out at 5.31 states/eV/f.u. As for the total DFT energy (no corrections): -66.9 eV per cell. The theoretical density comes out at 5.25 g/cm3.

Cell lengths 4.7076, 4.7076, 4.7076 Å; angles 90.00, 90.00, 90.00 degrees
Fractional coordinates of all 12 atoms:
H  0.2391  0.7609  0.2391
H  0.2391  0.2391  0.2391
H  0.7609  0.7609  0.7609
H  0.2391  0.7609  0.7609
H  0.7609  0.2391  0.7609
H  0.2391  0.2391  0.7609
H  0.7609  0.7609  0.2391
H  0.7609  0.2391  0.2391
Ti  0.0000  0.0000  0.0000
Zr  0.0000  0.5000  0.5000
Zr  0.5000  0.0000  0.5000
Zr  0.5000  0.5000  0.0000